1.
Computed, not measured: crystalline BaRe3 at its relaxed geometry at the PBE level of DFT.

The space group is Pmmn (No. 59, origin choice 2) and the conventional cell measures 4.514, 6.532 and 6.868 Å, with angles of 90.00, 90.00 and 90.00 degrees. The inequivalent atoms are Ba at (0.250, 0.250, 0.106), Re at (0.250, 0.057, 0.586) and Re at (0.250, 0.750, 0.348).

The total DFT energy (no corrections) comes out at -9.220 eV/atom. The density of states at the Fermi level comes out at 5.027 states/eV/f.u. The distance to the lowest polymorph of the same formula comes out at 0 meV/atom. For the formation energy, the calculation gives 0.597 eV per atom.

2.
Computed, not measured: crystalline BaRe at its relaxed geometry at the PBE level of DFT.

The space group is I4/m (No. 87) and the conventional cell measures 12.494, 12.494 and 4.003 Å, with angles of 90.00, 90.00 and 90.00 degrees. The inequivalent atoms are Ba at (0.001, 0.269, 0.000) and Re at (0.211, 0.783, 0.500).

The total DFT energy (no corrections) comes out at -6.322 eV/atom. The density of states at the Fermi level comes out at 2.420 states/eV/f.u. The distance to the lowest polymorph of the same formula comes out at 460 meV/atom. For the formation energy, the calculation gives 0.863 eV per atom.

3.
Computed, not measured: crystalline BaRe4 at its relaxed geometry at the PBE level of DFT.

The space group is I4/m (No. 87) and the conventional cell measures 6.432, 6.432 and 4.472 Å, with angles of 90.00, 90.00 and 90.00 degrees. The inequivalent atoms are Ba at (0.000, 0.000, 0.000) and Re at (0.038, 0.308, 0.500).

The total DFT energy (no corrections) comes out at -9.083 eV/atom. The density of states at the Fermi level comes out at 6.593 states/eV/f.u. The distance to the lowest polymorph of the same formula comes out at 799 meV/atom. For the formation energy, the calculation gives 1.260 eV per atom.

4.
Computed, not measured: crystalline BaRe at its relaxed geometry at the PBE level of DFT.

The space group is P4/nmm (No. 129, origin choice 2) and the conventional cell measures 3.335, 3.335 and 10.246 Å, with angles of 90.00, 90.00 and 90.00 degrees. The inequivalent atoms are Ba at (0.250, 0.250, 0.199) and Re at (0.250, 0.250, 0.553).

The total DFT energy (no corrections) comes out at -6.539 eV/atom. The density of states at the Fermi level comes out at 1.651 states/eV/f.u. The distance to the lowest polymorph of the same formula comes out at 242 meV/atom. For the formation energy, the calculation gives 0.646 eV per atom.

5.
Computed, not measured: crystalline BaRe at its relaxed geometry at the PBE level of DFT.

The space group is P6_3/mmc (No. 194) and the conventional cell measures 10.8699, 10.8699 and 3.9348 Å, with angles of 90.00, 90.00 and 120.00 degrees. The inequivalent atoms are Ba at (0.1781, 0.3562, 0.2500) and Re at (0.0741, 0.5371, 0.7500).

The total DFT energy (no corrections) comes out at -6.317 eV/atom. The density of states at the Fermi level comes out at 2.459 states/eV/f.u. The distance to the lowest polymorph of the same formula comes out at 465 meV/atom. For the formation energy, the calculation gives 0.869 eV per atom.

6.
Computed, not measured: crystalline BaRe at its relaxed geometry at the PBE level of DFT.

The space group is P6_3/mmc (No. 194) and the conventional cell measures 3.0627, 3.0627 and 11.8148 Å, with angles of 90.00, 90.00 and 120.00 degrees. The inequivalent atoms are Ba at (0.0000, 0.0000, 0.0000) and Re at (0.3333, 0.6667, 0.2500).

The total DFT energy (no corrections) comes out at -5.376 eV/atom. The density of states at the Fermi level comes out at 1.847 states/eV/f.u. The distance to the lowest polymorph of the same formula comes out at 1405 meV/atom. For the formation energy, the calculation gives 1.809 eV per atom.

7.
Computed, not measured: crystalline BaRe at its relaxed geometry at the PBE level of DFT.

The space group is P2_1/m (No. 11) and the conventional cell measures 5.366, 3.924 and 6.721 Å, with angles of 90.00, 113.44 and 90.00 degrees. The inequivalent atoms are Ba at (0.134, 0.250, 0.275) and Re at (0.456, 0.250, 0.891).

The total DFT energy (no corrections) comes out at -6.461 eV/atom. The density of states at the Fermi level comes out at 2.785 states/eV/f.u. The distance to the lowest polymorph of the same formula comes out at 320 meV/atom. For the formation energy, the calculation gives 0.724 eV per atom.

8.
Computed, not measured: crystalline BaRe at its relaxed geometry at the PBE level of DFT.

The space group is F-43m (No. 216) and the conventional cell measures 7.229, 7.229 and 7.229 Å, with angles of 90.00, 90.00 and 90.00 degrees. The inequivalent atoms are Ba at (0.000, 0.000, 0.000) and Re at (0.250, 0.250, 0.750).

The total DFT energy (no corrections) comes out at -4.437 eV/atom. The density of states at the Fermi level comes out at 2.836 states/eV/f.u. The distance to the lowest polymorph of the same formula comes out at 2345 meV/atom. For the formation energy, the calculation gives 2.748 eV per atom.

9.
Computed, not measured: crystalline BaRe at its relaxed geometry at the PBE level of DFT.

The space group is Pmn2_1 (No. 31) and the conventional cell measures 11.410, 5.222 and 5.777 Å, with angles of 90.00, 90.00 and 90.00 degrees. The inequivalent atoms are Ba at (0.000, 0.005, 0.000), Ba at (0.158, 0.999, 0.474), Re at (0.000, 0.501, 0.688) and Re at (0.200, 0.501, 0.836).

The total DFT energy (no corrections) comes out at -5.945 eV/atom. The density of states at the Fermi level comes out at 2.526 states/eV/f.u. The distance to the lowest polymorph of the same formula comes out at 837 meV/atom. For the formation energy, the calculation gives 1.240 eV per atom.

10.
Computed, not measured: crystalline BaRe at its relaxed geometry at the PBE level of DFT.

The space group is Imma (No. 74) and the conventional cell measures 3.865, 5.589 and 11.512 Å, with angles of 90.00, 90.00 and 90.00 degrees. The inequivalent atoms are Ba at (0.000, 0.250, 0.109) and Re at (0.000, 0.250, 0.690).

The total DFT energy (no corrections) comes out at -6.444 eV/atom. The density of states at the Fermi level comes out at 2.447 states/eV/f.u. The distance to the lowest polymorph of the same formula comes out at 338 meV/atom. For the formation energy, the calculation gives 0.741 eV per atom.

11.
Computed, not measured: crystalline BaRe at its relaxed geometry at the PBE level of DFT.

The space group is Imm2 (No. 44) and the conventional cell measures 3.880, 10.045 and 6.751 Å, with angles of 90.00, 90.00 and 90.00 degrees. The inequivalent atoms are Ba at (0.000, 0.198, 0.000), Re at (0.000, 0.000, 0.516) and Re at (0.000, 0.500, 0.813).

The total DFT energy (no corrections) comes out at -6.375 eV/atom. The density of states at the Fermi level comes out at 2.687 states/eV/f.u. The distance to the lowest polymorph of the same formula comes out at 406 meV/atom. For the formation energy, the calculation gives 0.810 eV per atom.

12.
Computed, not measured: crystalline BaRe5 at its relaxed geometry at the PBE level of DFT.

The space group is Amm2 (No. 38) and the conventional cell measures 6.965, 2.886 and 11.876 Å, with angles of 90.00, 90.00 and 90.00 degrees. The inequivalent atoms are Ba at (0.000, 0.000, 0.000), Re at (0.000, 0.000, 0.742), Re at (0.303, 0.000, 0.273), Re at (0.500, 0.000, 0.625) and Re at (0.500, 0.000, 0.926).

The total DFT energy (no corrections) comes out at -10.065 eV/atom. The density of states at the Fermi level comes out at 5.189 states/eV/f.u. The distance to the lowest polymorph of the same formula comes out at 43 meV/atom. For the formation energy, the calculation gives 0.629 eV per atom.